# NaCeSiO5 (GGA-PBE, optimized geometry)
# Formation energy from raw total energies (eV/f.u.): -20.12
data_NaCeSiO5
_cell_length_a 7.1702
_cell_length_b 9.2747
_cell_length_c 7.9739
_cell_angle_alpha 90.00
_cell_angle_beta 113.32
_cell_angle_gamma 90.00
_symmetry_space_group_name_H-M 'C 1 2/c 1'
_symmetry_Int_Tables_number 15
loop_
_symmetry_equiv_pos_as_xyz
'x,y,z'
'-x,-y,-z'
'-x,y,-z+1/2'
'x,-y,z+1/2'
'x+1/2,y+1/2,z'
'-x+1/2,-y+1/2,-z'
'-x+1/2,y+1/2,-z+1/2'
'x+1/2,-y+1/2,z+1/2'
loop_
_atom_site_label
_atom_site_fract_x
_atom_site_fract_y
_atom_site_fract_z
Na1 0.0000 0.1625 0.2500
Ce1 0.0000 0.5000 0.0000
Si1 0.0000 0.1741 0.7500
O1 0.0000 0.4162 0.2500
O2 0.1009 0.2805 0.6425
O3 0.1684 0.0663 0.8963



# NaCe2SiO6 (GGA-PBE, optimized geometry)
# Formation energy from raw total energies (eV/f.u.): -27.60
data_NaCe2SiO6
_cell_length_a 5.2690
_cell_length_b 5.2690
_cell_length_c 4.7955
_cell_angle_alpha 90.00
_cell_angle_beta 90.00
_cell_angle_gamma 90.00
_symmetry_space_group_name_H-M 'P 4 m m'
_symmetry_Int_Tables_number 99
loop_
_symmetry_equiv_pos_as_xyz
'x,y,z'
'-y,x,z'
'-x,-y,z'
'y,-x,z'
'-x,y,z'
'y,x,z'
'x,-y,z'
'-y,-x,z'
loop_
_atom_site_label
_atom_site_fract_x
_atom_site_fract_y
_atom_site_fract_z
Na1 0.0000 0.0000 0.0000
Ce1 0.0000 0.5000 0.4377
Si1 0.5000 0.5000 0.0418
O1 0.0000 0.0000 0.5472
O2 0.2774 0.2774 0.1544
O3 0.5000 0.5000 0.6909